(1)
Material: AsPtAuBr2
Method: DFT, PBE-GGA
State: optimized geometry

Calculated values
**V**: 132.6 Å³/cell
**Size of the total moment**: 0.0 μB per formula unit
**Raw formation energy**: 0.500 eV per atom
**Distance to the lowest polymorph of the same formula**: 0 kJ/mol of formula units

Cell: 5.280 5.280 4.755 Å, 90.00 90.00 90.00°
Space group P4/mmm (No. 123)
Symmetry-distinct sites (fractional):
1 As 0.000 0.000 0.000
2 Pt 0.000 0.000 0.500
3 Au 0.500 0.500 0.000
4 Br 0.000 0.500 0.500

***

(2)
Material: AsPt2AuBr
Method: DFT, PBE-GGA
State: optimized geometry

Calculated values
**V**: 125.4 Å³/cell
**Size of the total moment**: 0.0 μB per formula unit
**Raw formation energy**: 1.164 eV per atom

Cell: 5.166 5.166 4.700 Å, 90.00 90.00 90.00°
Space group P4/mmm (No. 123)
Symmetry-distinct sites (fractional):
1 As 0.000 0.000 0.000
2 Pt 0.000 0.500 0.500
3 Au 0.000 0.000 0.500
4 Br 0.500 0.500 0.000

***

> Which of these has the lowest raw formation energy?

AsPtAuBr2